[1]
# TbGdPd GGA-PBE optimized geometry
data_TbGdPd
_chemical_formula_sum 'Tb2 Gd2 Pd2'
_cell_length_a 3.595
_cell_length_b 3.595
_cell_length_c 11.864
_cell_angle_alpha 90.00
_cell_angle_beta 90.00
_cell_angle_gamma 90.00
_symmetry_space_group_name_H-M 'I 4 m m'
_symmetry_Int_Tables_number 107
_symmetry_space_group_name_Hall 'I 4 -2'
loop_
_atom_site_label
_atom_site_type_symbol
_atom_site_fract_x
_atom_site_fract_y
_atom_site_fract_z
Tb1 Tb 0.000 0.000 0.000
Gd1 Gd 0.000 0.000 0.715
Pd1 Pd 0.000 0.000 0.363
# **ΔH_f (0 K)**: -0.54 eV/atom
# **DOS at the Fermi energy**: 2.60 states/eV/f.u.
# **Polymorph energy (0 for the lowest one)**: 0.000 eV/atom
# **Mass density**: 9.15 g/cm3

---

[2]
# Sr2TlInRh GGA-PBE optimized geometry
data_Sr2TlInRh
_chemical_formula_sum 'Sr2 Tl1 In1 Rh1'
_cell_length_a 5.770
_cell_length_b 5.770
_cell_length_c 5.171
_cell_angle_alpha 90.00
_cell_angle_beta 90.00
_cell_angle_gamma 90.00
_symmetry_space_group_name_H-M 'P 4/m m m'
_symmetry_Int_Tables_number 123
_symmetry_space_group_name_Hall '-P 4 2'
loop_
_atom_site_label
_atom_site_type_symbol
_atom_site_fract_x
_atom_site_fract_y
_atom_site_fract_z
Sr1 Sr 0.000 0.500 0.000
Tl1 Tl 0.000 0.000 0.500
In1 In 0.500 0.500 0.500
Rh1 Rh 0.500 0.500 0.000
# **ΔH_f (0 K)**: -0.28 eV/atom
# **DOS at the Fermi energy**: 3.55 states/eV/f.u.
# **Mass density**: 5.76 g/cm3

---

[3]
# LaSmDyHo2 GGA-PBE optimized geometry
data_LaSmDyHo2
_chemical_formula_sum 'La4 Sm4 Dy4 Ho8'
_cell_length_a 8.452
_cell_length_b 11.551
_cell_length_c 7.223
_cell_angle_alpha 90.00
_cell_angle_beta 90.00
_cell_angle_gamma 90.00
_symmetry_space_group_name_H-M 'C m c m'
_symmetry_Int_Tables_number 63
_symmetry_space_group_name_Hall '-C 2c 2'
loop_
_atom_site_label
_atom_site_type_symbol
_atom_site_fract_x
_atom_site_fract_y
_atom_site_fract_z
La1 La 0.000 0.234 0.250
Sm1 Sm 0.000 0.499 0.250
Dy1 Dy 0.000 0.219 0.750
Ho1 Ho 0.188 0.000 0.000
# **ΔH_f (0 K)**: 0.36 eV/atom
# **DOS at the Fermi energy**: 7.72 states/eV/f.u.
# **Mass density**: 7.36 g/cm3

---

[4]
# KPdAu2F8 GGA-PBE optimized geometry
data_KPdAu2F8
_chemical_formula_sum 'K2 Pd2 Au4 F16'
_cell_length_a 8.719
_cell_length_b 5.910
_cell_length_c 8.257
_cell_angle_alpha 90.00
_cell_angle_beta 91.61
_cell_angle_gamma 90.00
_symmetry_space_group_name_H-M 'C 1 2/m 1'
_symmetry_Int_Tables_number 12
loop_
_symmetry_equiv_pos_as_xyz
'x,y,z'
'-x,-y,-z'
'-x,y,-z'
'x,-y,z'
'x+1/2,y+1/2,z'
'-x+1/2,-y+1/2,-z'
'-x+1/2,y+1/2,-z'
'x+1/2,-y+1/2,z'
loop_
_atom_site_label
_atom_site_type_symbol
_atom_site_fract_x
_atom_site_fract_y
_atom_site_fract_z
K1 K 0.000 0.000 0.000
Pd1 Pd 0.000 0.000 0.500
Au1 Au 0.199 0.500 0.248
F1 F 0.001 0.224 0.679
F2 F 0.171 0.500 0.007
F3 F 0.229 0.000 0.509
# **DOS at the Fermi energy**: 5.83 states/eV/f.u.
# **Formation energy from raw total energies**: -1.256 eV/atom
# **Mass density**: 5.40 g/cm3